Na2SbOsO6, optimized geometry, DFT PBE; formation energy (no corrections) = -12.80 eV per formula unit; magnetic moment = 0.000 μB/f.u.; SG = P4/mmm (123); density of states at the Fermi level = 2.5 states/eV per cell
1.0
5.599 0.000 0.000
0.000 5.599 0.000
0.000 0.000 3.864
Na Sb Os O
2 1 1 6
Cartesian
0.000 2.800 0.000 Na
2.800 0.000 0.000 Na
0.000 0.000 1.932 Sb
2.800 2.800 1.932 Os
0.000 0.000 0.000 O
1.402 1.402 1.932 O
1.402 4.198 1.932 O
2.800 2.800 0.000 O
4.198 1.402 1.932 O
4.198 4.198 1.932 O